A plane-wave DFT calculation with SCAN was carried out for a PBEsol-optimized structure of CaBe3.

Lattice parameters (Å, degrees): 5.756 5.756 5.756 90.00 90.00 90.00
Element x y z (fractional)
1 Be 0.000 0.500 0.000
2 Be 0.500 0.000 0.000
3 Be 0.000 0.000 0.500
4 Ca 0.000 0.000 0.000

Computed properties:
SG	Pm-3m
ΔH_f (0 K)	2451	meV per atom
density of states at the Fermi level	1.114	states/eV/atom
DFT total energy	-3.230	eV/atom
total magnetization	0.0	μB per formula unit
energy above the most stable polymorph in this dataset	1974	meV per atom

=====

A plane-wave DFT calculation with SCAN was carried out for a PBEsol-optimized structure of Ti2BeInSb.

Lattice parameters (Å, degrees): 4.257 5.056 5.056 90.00 90.00 90.00
Each line ends with the local moment (μB).
Element x y z (fractional)
1 Sb 0.500 0.500 0.500  -0.10
2 In 0.000 0.000 0.000  -0.01
3 Be 0.500 0.000 0.000  -0.03
4 Ti 0.000 0.000 0.500  0.95
5 Ti 0.000 0.500 0.000  0.95

Computed properties:
SG	P4/mmm
ΔE_f (raw)	747	meV/atom
density of states at the Fermi level	0.747	states/eV/atom
DFT total energy	-20.665	eV/atom
total magnetization	2.2	μB per formula unit

=====

A plane-wave DFT calculation with SCAN was carried out for a PBEsol-optimized structure of La5Cu.

Lattice parameters (Å, degrees): 3.647 3.647 13.428 90.00 90.00 90.00
Element x y z (fractional)
1 La 0.000 0.000 0.627
2 La 0.500 0.500 0.814
3 La 0.500 0.500 0.186
4 La 0.000 0.000 0.373
5 La 0.000 0.000 0.000
6 Cu 0.500 0.500 0.500

Computed properties:
SG	P4/mmm
ΔH_f (0 K)	-33	meV per atom
density of states at the Fermi level	1.297	states/eV/atom
DFT total energy	-38.487	eV/atom
total magnetization	0.0	μB per formula unit
energy above the most stable polymorph in this dataset	0	meV per atom